Computed, not measured: a relaxed structure of TbPm3Nd4 at the GGA-PBE level of DFT.

It has space group C2/m (No. 12), with a = 23.8120 Å, b = 3.5252 Å, c = 6.9492 Å, α = 90.00°, β = 106.92° and γ = 90.00°. The inequivalent atoms are Tb at (0.0000, 0.0000, 0.0000), Pm at (0.0000, 0.5000, 0.5000), Pm at (0.1236, 0.5000, 0.8831), Nd at (0.1237, 0.5000, 0.3649) and Nd at (0.2415, 0.0000, 0.2402).

For the size of the total moment, the calculation gives 0.0 μB/cell. The energy above the most stable polymorph in this dataset is 119 meV/atom. The value obtained for the final energy is -0.3376 Ry per atom. The formation enthalpy at 0 K is 0.1506 eV per atom.

Computed, not measured: a relaxed structure of Tb7PmNd5 at the GGA-PBE level of DFT.

It has space group Cm (No. 8), with a = 13.1504 Å, b = 11.8017 Å, c = 6.5801 Å, α = 90.00°, β = 119.85° and γ = 90.00°. The inequivalent atoms are Tb at (0.0000, 0.0000, 0.0000), Tb at (0.0010, 0.0000, 0.4476), Tb at (0.2335, 0.1627, 0.5067), Tb at (0.2486, 0.5000, 0.5068), Tb at (0.2670, 0.3393, 0.0380), Pm at (0.2539, 0.0000, 0.0138), Nd at (0.0017, 0.3369, 0.1120), Nd at (0.0015, 0.5000, 0.6348) and Nd at (0.4988, 0.2760, 0.6515).

For the size of the total moment, the calculation gives 0.0 μB/cell. The value obtained for the final energy is -0.3351 Ry per atom. The formation enthalpy at 0 K is 0.1333 eV per atom.

Computed, not measured: a relaxed structure of Tb4Pm5Nd3 at the GGA-PBE level of DFT.

It has space group P-1 (No. 2), with a = 6.2863 Å, b = 7.2502 Å, c = 8.8869 Å, α = 90.06°, β = 90.06° and γ = 90.06°. The inequivalent atoms are Tb at (0.1662, 0.9996, 0.1654), Tb at (0.3325, 0.2484, 0.8345), Pm at (0.0011, 0.2482, 0.5003), Pm at (0.1667, 0.4998, 0.1655), Pm at (0.5000, 0.0000, 0.5000), Nd at (0.3337, 0.7520, 0.8348) and Nd at (0.5000, 0.5000, 0.5000).

For the size of the total moment, the calculation gives 0.0 μB/cell. The energy above the most stable polymorph in this dataset is 0 meV/atom. The value obtained for the final energy is -0.3456 Ry per atom. The formation enthalpy at 0 K is 0.0130 eV per atom.

Computed, not measured: a relaxed structure of Tb7Pm2Nd at the GGA-PBE level of DFT.

It has space group Cmmm (No. 65), with a = 11.8723 Å, b = 16.6924 Å, c = 3.5346 Å, α = 90.00°, β = 90.00° and γ = 90.00°. The inequivalent atoms are Tb at (0.0000, 0.0000, 0.0000), Tb at (0.0000, 0.1718, 0.5000), Tb at (0.2410, 0.1304, 0.0000), Pm at (0.0000, 0.3259, 0.0000) and Nd at (0.0000, 0.5000, 0.5000).

For the size of the total moment, the calculation gives 0.0 μB/cell. The energy above the most stable polymorph in this dataset is 254 meV/atom. The value obtained for the final energy is -0.3123 Ry per atom. The formation enthalpy at 0 K is 0.4186 eV per atom.

Computed, not measured: a relaxed structure of Tb3Pm4Nd2 at the GGA-PBE level of DFT.

It has space group C2/m (No. 12), with a = 19.9781 Å, b = 3.5598 Å, c = 8.7622 Å, α = 90.00°, β = 99.05° and γ = 90.00°. The inequivalent atoms are Tb at (0.0000, 0.0000, 0.0000), Tb at (0.1061, 0.0000, 0.3604), Pm at (0.0488, 0.5000, 0.6848), Pm at (0.2202, 0.5000, 0.6500) and Nd at (0.1670, 0.5000, 0.0421).

For the size of the total moment, the calculation gives 0.0 μB/cell. The energy above the most stable polymorph in this dataset is 0 meV/atom. The value obtained for the final energy is -0.3407 Ry per atom. The formation enthalpy at 0 K is 0.0788 eV per atom.

Computed, not measured: a relaxed structure of Tb5Pm12Nd2 at the GGA-PBE level of DFT.

It has space group C2/m (No. 12), with a = 16.1511 Å, b = 10.0523 Å, c = 8.0492 Å, α = 90.00°, β = 90.83° and γ = 90.00°. The inequivalent atoms are Tb at (0.0000, 0.0000, 0.0000), Tb at (0.1470, 0.5000, 0.5797), Tb at (0.2480, 0.0000, 0.9875), Pm at (0.0512, 0.5000, 0.2103), Pm at (0.1059, 0.2743, 0.8882), Pm at (0.1602, 0.0000, 0.6238), Pm at (0.1914, 0.2286, 0.2921) and Nd at (0.0000, 0.2224, 0.5000).

For the size of the total moment, the calculation gives 0.0 μB/cell. The energy above the most stable polymorph in this dataset is 26 meV/atom. The value obtained for the final energy is -0.3379 Ry per atom. The formation enthalpy at 0 K is 0.1232 eV per atom.